1.
# GeTeRu2Br | Alexandria via LeMat-Bulk | GGA-PBE | relaxed
data_GeTeRu2Br
_cell_length_a 4.748
_cell_length_b 5.137
_cell_length_c 4.748
_cell_angle_alpha 90.00
_cell_angle_beta 90.00
_cell_angle_gamma 90.00
_symmetry_space_group_name_H-M 'P 1'
_symmetry_Int_Tables_number 1
_symmetry_space_group_name_Hall 'P 1'
loop_
_atom_site_label
_atom_site_fract_x
_atom_site_fract_y
_atom_site_fract_z
Ru1 0.000 0.000 0.500
Ru2 0.500 0.000 0.000
Ge1 0.000 0.000 0.000
Te1 0.500 0.500 0.500
Br1 0.000 0.500 0.000
# - Raw formation energy: 1.16 eV/atom

2.
# MgTl2P2Pt7 | Alexandria via LeMat-Bulk | GGA-PBE | relaxed
data_MgTl2P2Pt7
_cell_length_a 3.973
_cell_length_b 3.973
_cell_length_c 14.054
_cell_angle_alpha 86.46
_cell_angle_beta 86.46
_cell_angle_gamma 90.04
_symmetry_space_group_name_H-M 'P 1'
_symmetry_Int_Tables_number 1
_symmetry_space_group_name_Hall 'P 1'
loop_
_atom_site_label
_atom_site_fract_x
_atom_site_fract_y
_atom_site_fract_z
Mg1 0.000 0.000 0.000
Tl1 0.923 0.923 0.395
Tl2 0.077 0.077 0.605
P1 0.552 0.552 0.762
P2 0.448 0.448 0.238
Pt1 0.500 0.500 0.000
Pt2 0.430 0.430 0.403
Pt3 0.570 0.570 0.597
Pt4 0.967 0.468 0.147
Pt5 0.468 0.967 0.147
Pt6 0.532 0.033 0.853
Pt7 0.033 0.532 0.853
# - Energy relative to the elements: -453 meV/atom

3.
# Cs2Cd4Au5 | Alexandria via LeMat-Bulk | GGA-PBE | relaxed
data_Cs2Cd4Au5
_cell_length_a 6.744
_cell_length_b 6.622
_cell_length_c 8.916
_cell_angle_alpha 78.90
_cell_angle_beta 67.78
_cell_angle_gamma 59.39
_symmetry_space_group_name_H-M 'P 1'
_symmetry_Int_Tables_number 1
_symmetry_space_group_name_Hall 'P 1'
loop_
_atom_site_label
_atom_site_fract_x
_atom_site_fract_y
_atom_site_fract_z
Cs1 0.867 0.000 0.266
Cs2 0.133 0.000 0.734
Cd1 0.465 0.325 0.746
Cd2 0.535 0.675 0.254
Cd3 0.211 0.325 0.254
Cd4 0.789 0.675 0.746
Au1 0.500 0.000 0.000
Au2 0.000 0.500 0.000
Au3 0.500 0.500 0.000
Au4 0.250 0.500 0.500
Au5 0.750 0.500 0.500
# - Energy relative to the elements: -181 meV/atom

no.,DOS(E_F) (states/eV per cell)
1,8.5
2,4.6
3,3.8